Compound: EuCrTe2
Source: the Alexandria database
Functional: PBE
Structure: relaxed

## Properties
* formation energy without anion corrections: -31.7 kJ/mol of atoms
* N(E_F): 33.193 states/eV per cell

Unit cell a=4.0331 b=4.0331 c=28.1368 alpha=90.00 beta=90.00 gamma=120.00
Space group R-3m (No. 166, hexagonal axes)
Unique sites:
Eu: 0.0000 0.0000 0.0000 x3
Cr: 0.0000 0.0000 0.5000 x3
Te: 0.0000 0.0000 0.1144 x6